# ReSe2Cl (PBE-GGA, optimized geometry)
data_ReSe2Cl
_cell_length_a 3.2529
_cell_length_b 4.3751
_cell_length_c 4.8783
_cell_angle_alpha 90.00
_cell_angle_beta 90.00
_cell_angle_gamma 90.00
_symmetry_space_group_name_H-M 'P m m m'
_symmetry_Int_Tables_number 47
_symmetry_space_group_name_Hall '-P 2 2'
loop_
_atom_site_label
_atom_site_fract_x
_atom_site_fract_y
_atom_site_fract_z
Re1 0.0000 0.0000 0.0000
Se1 0.0000 0.5000 0.5000
Se2 0.5000 0.0000 0.5000
Cl1 0.5000 0.5000 0.0000
# - N(E_F): 3.30 states/eV/cell
# - Energy: -4.2225 eV/atom
# - Energy above the most stable polymorph in this dataset: 4.83 eV/f.u.
# - Calculated volume: 69.4 Å³/f.u.